[1]
Entry from the Alexandria database: Sr3Al2Ag9 after structural relaxation (GGA-PBE). Values from VASP.

Quantum ESPRESSO input file:
```
&SYSTEM
  ibrav = 0, nat = 14, ntyp = 3
/
ATOMIC_SPECIES
Ag 107.87 Ag.upf
Al 26.98 Al.upf
Sr 87.62 Sr.upf
ATOMIC_POSITIONS angstrom
Ag -3.023 1.803 0.342
Ag -3.495 -6.300 3.573
Ag -4.699 2.856 2.601
Ag -1.819 -7.354 1.314
Ag -5.211 -1.701 2.637
Ag -1.307 -2.797 1.278
Ag -3.347 -1.081 0.365
Ag -0.584 -5.195 0.041
Ag -3.171 -3.417 3.550
Al -4.388 -1.734 5.314
Al -2.130 -2.763 -1.399
Sr 0.000 0.000 0.000
Sr -2.539 0.311 3.251
Sr -5.733 0.703 7.341
CELL_PARAMETERS angstrom
-2.922 -4.879 6.760
-5.350 5.893 3.832
1.754 -5.511 -6.677
```

Output
The volume comes out at 324.3 Å³ per cell. The value obtained for the electronic total energy is -2.932 eV per atom. As for the symmetry: Immm.

=====

[2]
Entry from the Alexandria database: Sr3Al9Ag2 after structural relaxation (GGA-PBE). Values from VASP.

Quantum ESPRESSO input file:
```
&SYSTEM
  ibrav = 0, nat = 14, ntyp = 3
/
ATOMIC_SPECIES
Sr 87.62 Sr.upf
Al 26.98 Al.upf
Ag 107.87 Ag.upf
ATOMIC_POSITIONS angstrom
Sr 3.438 -4.661 1.808
Sr 0.000 0.000 0.000
Sr 8.702 -5.097 2.387
Al 6.325 -2.711 1.410
Al 1.738 -1.915 2.222
Al 4.658 -3.244 -0.887
Al 4.311 -1.875 3.303
Al 7.482 -6.514 5.082
Al 7.829 -7.883 0.892
Al 10.402 -7.843 1.973
Al 1.954 -2.767 -0.386
Al 10.186 -6.991 4.580
Ag 6.223 -5.483 0.249
Ag 5.917 -4.275 3.945
CELL_PARAMETERS angstrom
-0.509 -4.335 1.375
6.720 -4.270 -3.359
5.930 -1.153 6.179
```

Output
The volume comes out at 305.9 Å³ per cell. The value obtained for the electronic total energy is -3.408 eV per atom. As for the symmetry: Immm.

=====

[3]
Entry from the Alexandria database: Sr2AlAg after structural relaxation (GGA-PBE). Values from VASP.

Quantum ESPRESSO input file:
```
&SYSTEM
  ibrav = 0, nat = 4, ntyp = 3
/
ATOMIC_SPECIES
Sr 87.62 Sr.upf
Al 26.98 Al.upf
Ag 107.87 Ag.upf
ATOMIC_POSITIONS angstrom
Sr -11.447 -3.563 6.032
Sr -22.688 -7.062 11.957
Al -17.067 -5.313 8.995
Ag -5.689 -1.771 2.998
CELL_PARAMETERS angstrom
-8.745 -0.437 2.935
-7.511 -4.560 2.841
-6.501 -2.087 6.217
```

Output
The volume comes out at 142.7 Å³ per cell. The value obtained for the electronic total energy is -2.472 eV per atom. As for the symmetry: R-3m.

=====

[4]
Entry from the Alexandria database: SrAl8Ag2 after structural relaxation (GGA-PBE). Values from VASP.

Quantum ESPRESSO input file:
```
&SYSTEM
  ibrav = 0, nat = 11, ntyp = 3
/
ATOMIC_SPECIES
Al 26.98 Al.upf
Ag 107.87 Ag.upf
Sr 87.62 Sr.upf
ATOMIC_POSITIONS angstrom
Al 1.346 4.058 7.677
Al 1.346 1.346 7.677
Al 4.058 1.346 2.008
Al 4.058 4.058 7.677
Al 1.346 4.058 2.008
Al 1.346 1.346 2.008
Al 4.058 4.058 2.008
Al 4.058 1.346 7.677
Ag 0.000 2.702 0.000
Ag 2.702 0.000 0.000
Sr 2.702 2.702 4.842
CELL_PARAMETERS angstrom
5.404 0.000 0.000
0.000 5.404 0.000
0.000 0.000 9.685
```

Output
The volume comes out at 282.8 Å³ per cell. The value obtained for the electronic total energy is -3.125 eV per atom. As for the symmetry: P4/mmm.

=====

[5]
Entry from the Alexandria database: SrAlAg after structural relaxation (GGA-PBE). Values from VASP.

Quantum ESPRESSO input file:
```
&SYSTEM
  ibrav = 0, nat = 3, ntyp = 3
/
ATOMIC_SPECIES
Ag 107.87 Ag.upf
Sr 87.62 Sr.upf
Al 26.98 Al.upf
ATOMIC_POSITIONS angstrom
Ag 0.000 0.000 0.000
Sr 7.795 4.501 3.182
Al 5.197 3.000 2.122
CELL_PARAMETERS angstrom
5.197 0.000 0.000
2.598 4.501 0.000
2.598 1.500 4.243
```

Output
The volume comes out at 99.3 Å³ per cell. The value obtained for the electronic total energy is -2.281 eV per atom. As for the symmetry: F-43m.

=====

[6]
Entry from the Alexandria database: Sr2AlAg2 after structural relaxation (GGA-PBE). Values from VASP.

Quantum ESPRESSO input file:
```
&SYSTEM
  ibrav = 0, nat = 10, ntyp = 3
/
ATOMIC_SPECIES
Ag 107.87 Ag.upf
Sr 87.62 Sr.upf
Al 26.98 Al.upf
ATOMIC_POSITIONS angstrom
Ag 1.011 2.909 0.000
Ag 6.830 4.931 0.000
Ag 4.931 1.011 0.000
Ag 2.909 6.830 0.000
Sr 2.517 1.404 2.292
Sr 5.324 6.437 2.292
Sr 6.437 2.517 2.292
Sr 1.404 5.324 2.292
Al 3.920 3.920 0.000
Al 0.000 0.000 0.000
CELL_PARAMETERS angstrom
7.841 0.000 0.000
0.000 7.841 0.000
0.000 0.000 4.583
```

Output
The volume comes out at 281.8 Å³ per cell. The value obtained for the electronic total energy is -2.747 eV per atom. As for the symmetry: P4/mbm.

=====

[7]
Entry from the Alexandria database: Sr2Al3Ag4 after structural relaxation (GGA-PBE). Values from VASP.

Quantum ESPRESSO input file:
```
&SYSTEM
  ibrav = 0, nat = 9, ntyp = 3
/
ATOMIC_SPECIES
Sr 87.62 Sr.upf
Ag 107.87 Ag.upf
Al 26.98 Al.upf
ATOMIC_POSITIONS angstrom
Sr 1.924 0.000 2.828
Sr 3.421 0.000 6.800
Ag 6.160 1.758 7.448
Ag 4.417 1.758 4.133
Ag 1.802 3.216 3.157
Ag 3.544 3.216 6.472
Al 1.308 2.487 0.488
Al 0.000 0.000 0.000
Al 3.923 2.487 1.465
CELL_PARAMETERS angstrom
5.231 0.000 1.953
2.615 4.974 0.976
0.115 0.000 7.676
```

Output
The volume comes out at 198.6 Å³ per cell. The value obtained for the electronic total energy is -3.118 eV per atom. As for the symmetry: Fmmm.

=====

[8]
Entry from the Alexandria database: Sr3Al4Ag4 after structural relaxation (GGA-PBE). Values from VASP.

Quantum ESPRESSO input file:
```
&SYSTEM
  ibrav = 0, nat = 11, ntyp = 3
/
ATOMIC_SPECIES
Ag 107.87 Ag.upf
Al 26.98 Al.upf
Sr 87.62 Sr.upf
ATOMIC_POSITIONS angstrom
Ag -2.690 0.313 0.491
Ag -0.781 4.079 1.197
Ag -1.210 -2.686 3.163
Ag -2.234 -0.901 -3.589
Al -0.318 1.662 0.488
Al -0.910 -0.367 -1.462
Al -5.193 0.604 0.947
Al -0.493 -1.095 1.289
Sr -1.629 1.140 3.568
Sr -2.467 2.601 -1.957
Sr -2.818 -2.936 -0.349
CELL_PARAMETERS angstrom
-3.656 -1.475 -5.874
-1.980 -4.397 5.177
-1.278 6.676 1.959
```

Output
The volume comes out at 272.6 Å³ per cell. The value obtained for the electronic total energy is -3.108 eV per atom. As for the symmetry: I-43m.

=====

[9]
Entry from the Alexandria database: Sr2AlAg7 after structural relaxation (GGA-PBE). Values from VASP.

Quantum ESPRESSO input file:
```
&SYSTEM
  ibrav = 0, nat = 10, ntyp = 3
/
ATOMIC_SPECIES
Al 26.98 Al.upf
Ag 107.87 Ag.upf
Sr 87.62 Sr.upf
ATOMIC_POSITIONS angstrom
Al 2.207 2.207 0.000
Ag 0.000 2.207 10.560
Ag 0.000 0.000 0.000
Ag 0.000 0.000 6.092
Ag 2.207 0.000 4.353
Ag 2.207 2.207 6.092
Ag 2.207 0.000 1.623
Ag 0.000 2.207 7.831
Sr 0.000 2.207 3.047
Sr 2.207 0.000 9.137
CELL_PARAMETERS angstrom
4.414 0.000 0.000
0.000 4.414 0.000
0.000 0.000 12.184
```

Output
The volume comes out at 237.4 Å³ per cell. The value obtained for the electronic total energy is -2.859 eV per atom. As for the symmetry: P-4m2.

=====

[10]
Entry from the Alexandria database: SrTbAlAg after structural relaxation (GGA-PBE). Values from VASP.

Quantum ESPRESSO input file:
```
&SYSTEM
  ibrav = 0, nat = 4, ntyp = 4
/
ATOMIC_SPECIES
Ag 107.87 Ag.upf
Al 26.98 Al.upf
Sr 87.62 Sr.upf
Tb 158.93 Tb.upf
ATOMIC_POSITIONS angstrom
Ag 0.429 0.164 9.816
Al 0.143 0.055 3.272
Sr 0.286 0.109 6.544
Tb 0.000 0.000 0.000
CELL_PARAMETERS angstrom
-0.668 3.040 4.351
-1.947 -2.152 4.493
3.186 -0.669 4.244
```

Output
The volume comes out at 108.2 Å³ per cell. The value obtained for the electronic total energy is -3.415 eV per atom. As for the symmetry: F-43m.

=====

[11]
Entry from the Alexandria database: Sr2AlTcAg after structural relaxation (GGA-PBE). Values from VASP.

Quantum ESPRESSO input file:
```
&SYSTEM
  ibrav = 0, nat = 5, ntyp = 4
/
ATOMIC_SPECIES
Tc 98.00 Tc.upf
Al 26.98 Al.upf
Sr 87.62 Sr.upf
Ag 107.87 Ag.upf
ATOMIC_POSITIONS angstrom
Tc 0.715 -2.312 -0.762
Al 2.544 -2.958 2.914
Sr 2.686 0.470 1.096
Sr -0.858 -1.116 2.580
Ag 0.000 0.000 0.000
CELL_PARAMETERS angstrom
-1.716 -2.232 5.160
1.431 -4.624 -1.525
5.373 0.940 2.193
```

Output
The volume comes out at 175.4 Å³ per cell. The value obtained for the electronic total energy is -3.218 eV per atom. As for the symmetry: P4/mmm.

=====

[12]
Entry from the Alexandria database: SrAlTlAg after structural relaxation (GGA-PBE). Values from VASP.

Quantum ESPRESSO input file:
```
&SYSTEM
  ibrav = 0, nat = 4, ntyp = 4
/
ATOMIC_SPECIES
Al 26.98 Al.upf
Ag 107.87 Ag.upf
Sr 87.62 Sr.upf
Tl 204.38 Tl.upf
ATOMIC_POSITIONS angstrom
Al 0.000 0.000 0.000
Ag -4.349 3.865 7.605
Sr -2.900 2.577 5.070
Tl -1.450 1.288 2.535
CELL_PARAMETERS angstrom
-3.825 3.181 1.554
-2.632 -1.034 4.379
0.658 3.006 4.207
```

Output
The volume comes out at 100.1 Å³ per cell. The value obtained for the electronic total energy is -2.763 eV per atom. As for the symmetry: F-43m.

=====

| no. | DFT formation energy (meV per atom) |
| --- | --- |
| 1 | -204 |
| 2 | -234 |
| 3 | 18 |
| 4 | 269 |
| 5 | 477 |
| 6 | -185 |
| 7 | -230 |
| 8 | -252 |
| 9 | -153 |
| 10 | -188 |
| 11 | 846 |
| 12 | -103 |